Entry from Alexandria via LeMat-Bulk: Th2BiTe2 after structural relaxation (PBE).

POSCAR file:
```
Th2BiTe2
1.0
3.335 0.000 0.000
0.000 3.335 0.000
0.000 0.000 17.533
Th Bi Te
2 1 2
Direct
0.000 0.000 0.186
0.000 0.000 0.814
0.000 0.000 0.000
0.000 0.000 0.364
0.000 0.000 0.636
```

Computed properties:
offset from the most stable computed form	296	kJ/mol of formula units
raw formation energy	0.957	eV per formula unit
DFT total energy	-4.8094	eV per atom

---

Entry from Alexandria via LeMat-Bulk: RbCu2TeF8 after structural relaxation (PBE).

POSCAR file:
```
RbCu2TeF8
1.0
2.609 1.506 8.656
-2.609 1.506 8.656
0.000 -3.012 8.656
Rb Cu Te F
1 2 1 8
Direct
0.000 0.000 0.000
0.263 0.263 0.263
0.737 0.737 0.737
0.500 0.500 0.500
0.123 0.479 0.743
0.257 0.521 0.877
0.334 0.334 0.334
0.479 0.743 0.123
0.521 0.877 0.257
0.666 0.666 0.666
0.743 0.123 0.479
0.877 0.257 0.521
```

Computed properties:
raw formation energy	-21.477	eV per formula unit
DFT total energy	-4.0624	eV per atom

---

Entry from Alexandria via LeMat-Bulk: CeSBr after structural relaxation (PBE).

POSCAR file:
```
CeSBr
1.0
6.943 0.000 0.000
0.000 13.938 0.000
0.000 0.000 7.120
Ce S Br
8 8 8
Direct
0.243 0.091 0.033
0.243 0.409 0.533
0.257 0.591 0.033
0.257 0.909 0.533
0.743 0.091 0.467
0.743 0.409 0.967
0.757 0.591 0.467
0.757 0.909 0.967
0.001 0.024 0.742
0.001 0.476 0.242
0.499 0.524 0.742
0.499 0.976 0.242
0.501 0.024 0.758
0.501 0.476 0.258
0.999 0.524 0.758
0.999 0.976 0.258
0.146 0.709 0.386
0.146 0.791 0.886
0.354 0.209 0.386
0.354 0.291 0.886
0.646 0.709 0.114
0.646 0.791 0.614
0.854 0.209 0.114
0.854 0.291 0.614
```

Computed properties:
offset from the most stable computed form	0	kJ/mol of formula units
raw formation energy	-5.764	eV per formula unit
DFT total energy	-5.8328	eV per atom